A plane-wave DFT calculation with PBE was carried out for crystalline Tl2MoSe at its relaxed geometry.

Computed properties:
Its formation energy from raw total energies is 0.713 eV per atom. The calculation puts the energy relative to the lowest polymorph listed for this composition at 0.6372 eV/atom. The value obtained for the magnetization is 3.41 μB per formula unit. The calculation puts the density of states at the Fermi level at 5.70 states/eV/cell. The final energy is -32.4 eV per cell.

abc: 8.1844 8.1844 6.5265
angles: 51.17 51.17 90.00
Element x y z (fractional)
Se: 0.2500 0.7500 0.5000
Se: 0.5000 0.5000 0.0000
Tl: 0.8750 0.8838 0.7500
Tl: 0.3750 0.3662 0.7500
Tl: 0.1162 0.6250 0.2500
Tl: 0.6338 0.1250 0.2500
Mo: 0.0000 0.0000 0.0000
Mo: 0.7500 0.2500 0.5000